Record 1
DFT (PBE-GGA) results for a relaxed structure of CaZn4Ag2.

The structure in extended XYZ format:
```
7
Lattice="4.3564 -3.3896 0.0000 4.3564 3.3896 0.0000 -3.3388 0.0000 4.2821" Properties=species:S:1:pos:R:3 pbc="T T T"
Ca 0.0000 0.0000 0.0000
Zn 1.6670 2.1112 1.3570
Zn 3.7070 2.1112 2.9251
Zn 1.6670 -2.1112 1.3570
Zn 3.7070 -2.1112 2.9251
Ag 3.4982 0.0000 1.0465
Ag 1.8758 0.0000 3.2356
```

Summary:
The calculation puts the formation energy from the elements at -0.18 eV per atom. As for the raw total energy: -2.0081 eV/atom.

---

Record 2
DFT (PBE-GGA) results for a relaxed structure of MnFe2Cu.

The structure in extended XYZ format:
```
4
Lattice="1.2515 0.7226 8.4307 -1.2515 0.7226 8.4307 0.0000 -1.4451 8.4307" Properties=species:S:1:pos:R:3 pbc="T T T"
Mn 0.0000 0.0000 0.0000
Fe 0.0000 0.0000 12.5355
Fe 0.0000 0.0000 18.8193
Cu 0.0000 0.0000 6.2527
```

Summary:
The calculation puts the formation energy from the elements at 0.14 eV per atom. As for the raw total energy: -7.4127 eV/atom.

---

Record 3
DFT (PBE-GGA) results for a relaxed structure of La2WBr.

The structure in extended XYZ format:
```
4
Lattice="-2.1312 2.1312 5.6731 2.1312 -2.1312 5.6731 2.1312 2.1312 -5.6731" Properties=species:S:1:pos:R:3 pbc="T T T"
La 0.0000 0.0000 0.0000
La 0.0000 2.1312 2.8366
W 2.1312 0.0000 2.8366
Br 0.0000 0.0000 5.6731
```

Summary:
As for the formation energy (no corrections): 320 meV per atom. As for the raw total energy: -5.8000 eV/atom.

---

Record 4
DFT (PBE-GGA) results for a relaxed structure of Pr2Sm7Y.

The structure in extended XYZ format:
```
10
Lattice="-2.7957 3.5560 8.5886 2.7957 -3.5560 8.5886 2.7957 3.5560 -8.5886" Properties=species:S:1:pos:R:3 pbc="T T T"
Pr 0.0000 0.0000 3.4062
Pr 0.0000 0.0000 13.7711
Sm 0.0000 0.0000 0.0000
Sm 2.7957 1.7949 -1.8113
Sm 2.7957 0.0000 5.1762
Sm 2.7957 1.7949 1.8113
Sm 0.0000 1.7611 6.7774
Sm 0.0000 3.5560 3.4125
Sm 0.0000 1.7611 10.3999
Y 0.0000 3.5560 0.0000
```

Summary:
The calculation puts the formation energy from the elements at 0.06 eV per atom. As for the raw total energy: -4.8484 eV/atom.

---

Record 5
DFT (PBE-GGA) results for a relaxed structure of AlRh2Cl.

The structure in extended XYZ format:
```
4
Lattice="-2.1914 2.1914 3.1069 2.1914 -2.1914 3.1069 2.1914 2.1914 -3.1069" Properties=species:S:1:pos:R:3 pbc="T T T"
Al 0.0000 0.0000 0.0000
Rh 2.1914 0.0000 1.5535
Rh 0.0000 2.1914 1.5535
Cl 0.0000 0.0000 3.1069
```

Summary:
As for the formation energy (no corrections): 100 meV per atom. As for the raw total energy: -4.9729 eV/atom.

---

Record 6
DFT (PBE-GGA) results for a relaxed structure of SbIr2Au.

The structure in extended XYZ format:
```
4
Lattice="3.0568 0.0000 0.0000 0.0000 3.6119 0.0000 0.0000 0.0000 6.1488" Properties=species:S:1:pos:R:3 pbc="T T T"
Sb 0.0000 0.0000 0.0000
Ir 1.5284 1.8060 1.4842
Ir 1.5284 1.8060 4.6647
Au 0.0000 0.0000 3.0744
```

Summary:
As for the formation energy (no corrections): 301 meV per atom. As for the raw total energy: -5.9792 eV/atom.

---

Record 7
DFT (PBE-GGA) results for a relaxed structure of Ni6Pt3W.

The structure in extended XYZ format:
```
20
Lattice="4.3489 2.5109 4.1392 -4.3489 2.5109 4.1392 0.0000 -5.0217 4.1392" Properties=species:S:1:pos:R:3 pbc="T T T"
Ni -1.3562 0.4395 2.0293
Ni 0.2975 -1.3942 2.0293
Ni -2.1751 -0.9105 5.4039
Ni 1.0587 0.9547 2.0293
Ni -0.2990 -2.3390 7.0136
Ni -1.8761 1.4285 7.0136
Ni 1.8761 -1.4285 5.4039
Ni 0.2990 2.3390 5.4039
Ni -1.0587 -0.9547 10.3882
Ni 2.1751 0.9105 7.0136
Ni -0.2975 1.3942 10.3882
Ni 1.3562 -0.4395 10.3882
Pt -0.2849 -2.3204 4.4272
Pt -1.8671 1.4069 4.4272
Pt -2.1519 -0.9135 7.9902
Pt 2.1519 0.9135 4.4272
Pt 1.8671 -1.4069 7.9902
Pt 0.2848 2.3204 7.9902
W 0.0000 0.0000 0.0000
W 0.0000 0.0000 6.2087
```

Summary:
The calculation puts the formation energy from the elements at 0.07 eV per atom. As for the raw total energy: -6.5046 eV/atom.

---

Record 8
DFT (PBE-GGA) results for a relaxed structure of UPdSe3.

The structure in extended XYZ format:
```
10
Lattice="1.9447 -6.5958 0.0000 1.9447 6.5958 0.0000 0.0000 0.0000 9.2833" Properties=species:S:1:pos:R:3 pbc="T T T"
U 1.9447 3.3713 6.9625
U 1.9447 -3.3713 2.3208
Pd 1.9447 6.3002 2.3208
Pd 1.9447 -6.3002 6.9625
Se 1.9447 4.4449 0.6383
Se 1.9447 4.4449 4.0034
Se 1.9447 1.2453 2.3208
Se 1.9447 -1.2453 6.9625
Se 1.9447 -4.4449 5.2799
Se 1.9447 -4.4449 8.6451
```

Summary:
As for the formation energy (no corrections): -739 meV per atom. As for the raw total energy: -6.1263 eV/atom.